No. 1
Material: Hg2PSe
Method: DFT, PBE
State: relaxed

Properties
Volume: 23.7 Å³/atom
E_form (uncorrected): 0.234 eV/atom

The structure in POSCAR format:
```
Hg2PSe
1.0
1.755 1.013 8.905
-1.755 1.013 8.905
0.000 -2.026 8.905
Hg P Se
2 1 1
direct
0.000 0.000 0.000
0.240 0.240 0.240
0.751 0.751 0.751
0.472 0.472 0.472
```

No. 2
Material: LiSm2Sb3Rh4
Method: DFT, PBE
State: relaxed

Properties
Volume: 20.4 Å³/atom
E_form (uncorrected): -0.783 eV/atom

The structure in POSCAR format:
```
LiSm2Sb3Rh4
1.0
4.289 0.000 0.000
0.000 4.289 0.000
0.000 0.000 11.074
Li Sm Sb Rh
1 2 3 4
direct
0.000 0.000 0.000
0.000 0.500 0.758
0.500 0.000 0.242
0.000 0.500 0.363
0.500 0.000 0.637
0.500 0.500 0.000
0.000 0.000 0.500
0.000 0.500 0.135
0.500 0.000 0.865
0.500 0.500 0.500
```

No. 3
Material: GaP2Pb2
Method: DFT, PBE
State: relaxed

Properties
Formation enthalpy at 0 K: 0.186 eV/atom
Volume: 23.2 Å³/atom
Energy above the lowest structure with this stoichiometry: 0.000 eV/atom

The structure in POSCAR format:
```
GaP2Pb2
1.0
-1.705 1.705 9.963
1.705 -1.705 9.963
1.705 1.705 -9.963
Ga P Pb
1 2 2
direct
0.000 0.000 0.000
0.250 0.750 0.500
0.750 0.250 0.500
0.393 0.393 0.000
0.607 0.607 0.000
```